[1]
# RbH3Br PBE-GGA optimized geometry
# **Excess energy over the best structure of this formula in the dataset**: 1.1671 eV per atom
# **Size of the total moment**: 3.00 Bohr magnetons per cell
data_RbH3Br
_cell_length_a 5.035
_cell_length_b 5.035
_cell_length_c 5.035
_cell_angle_alpha 90.00
_cell_angle_beta 90.00
_cell_angle_gamma 90.00
_space_group_name_H-M_alt 'P m -3 m'
_space_group_IT_number 221
_space_group_name_Hall '-P 4 2 3'
loop_
_atom_site_label
_atom_site_type_symbol
_atom_site_fract_x
_atom_site_fract_y
_atom_site_fract_z
_atom_site_occupancy
Rb1 Rb 0.000 0.000 0.000 1
H1 H 0.000 0.000 0.500 1
Br1 Br 0.500 0.500 0.500 1

---

[2]
# LaAuS2 PBE-GGA optimized geometry
# **ΔE_f (raw)**: -5.3 eV per formula unit
# **Excess energy over the best structure of this formula in the dataset**: 0.0666 eV per atom
# **Size of the total moment**: 0.00 Bohr magnetons per cell
data_LaAuS2
_cell_length_a 4.072
_cell_length_b 7.118
_cell_length_c 7.183
_cell_angle_alpha 76.85
_cell_angle_beta 74.66
_cell_angle_gamma 86.73
_space_group_name_H-M_alt 'P 1'
_space_group_IT_number 1
loop_
_space_group_symop_operation_xyz
'x,y,z'
loop_
_atom_site_label
_atom_site_type_symbol
_atom_site_fract_x
_atom_site_fract_y
_atom_site_fract_z
_atom_site_occupancy
La1 La 0.000 0.000 0.000 1
La2 La 0.202 0.614 0.605 1
Au1 Au 0.091 0.276 0.321 1
Au2 Au 0.692 0.473 0.042 1
S1 S 0.351 0.978 0.303 1
S2 S 0.600 0.825 0.783 1
S3 S 0.643 0.311 0.795 1
S4 S 0.852 0.592 0.296 1

---

[3]
# NiGe2Sb PBE-GGA optimized geometry
# **ΔE_f (raw)**: 0.6 eV per formula unit
# **Size of the total moment**: 0.00 Bohr magnetons per cell
data_NiGe2Sb
_cell_length_a 5.414
_cell_length_b 5.414
_cell_length_c 12.871
_cell_angle_alpha 90.00
_cell_angle_beta 90.00
_cell_angle_gamma 90.00
_space_group_name_H-M_alt 'I -4 2 d'
_space_group_IT_number 122
_space_group_name_Hall 'I -4 2bw'
loop_
_atom_site_label
_atom_site_type_symbol
_atom_site_fract_x
_atom_site_fract_y
_atom_site_fract_z
_atom_site_occupancy
Ni1 Ni 0.000 0.000 0.000 1
Ge1 Ge 0.170 0.250 0.125 1
Sb1 Sb 0.000 0.000 0.500 1